This record from the Alexandria database describes a crystal of KAu2O4 relaxed with PBEsol. The functional is meta-GGA SCAN.

Output
Fermi-level density of states, states/eV per atom: 0.767
ΔE_f (raw), eV/atom: -0.50
SG: P4_2/mmc
Total magnetization, μB/cell: 2.034

Cell lengths 5.478, 6.955, 6.955 Å; angles 90.00, 90.00, 90.00 degrees
Site moments in Bohr magnetons follow the coordinates.
Positions (direct):
K 0.000 0.500 0.000  0.00
K 0.500 0.000 0.500  0.00
Au 0.000 0.000 0.799  0.10
Au 0.000 0.000 0.201  0.10
Au 0.500 0.201 0.000  0.10
Au 0.500 0.799 0.000  0.10
O 0.250 0.206 0.206  0.17
O 0.750 0.206 0.206  0.17
O 0.250 0.206 0.794  0.17
O 0.750 0.206 0.794  0.17
O 0.250 0.794 0.794  0.17
O 0.750 0.794 0.206  0.17
O 0.750 0.794 0.794  0.17
O 0.250 0.794 0.206  0.17